No. 1
{
  "formula": "Ti3Sb",
  "functional": "PBEsol",
  "state": "optimized geometry",
  "total_energy_ev_per_cell": -123.92,
  "raw_formation_energy_ev_per_atom": -0.364,
  "lattice_angstrom": [[-1.4805, -1.2548, -4.7910], [6.2613, -2.1743, -4.1539], [-1.7471, -7.6203, -0.2529]],
  "species": ["Ti", "Ti", "Ti", "Ti", "Ti", "Ti", "Ti", "Ti", "Ti", "Ti", "Ti", "Ti", "Sb", "Sb", "Sb", "Sb"],
  "fractional_positions": [[0.9239, 0.2929, 0.8593], [0.7832, 0.1407, 0.2929], [0.2168, 0.8593, 0.7071], [0.4239, 0.8593, 0.2929], [0.7500, 0.0000, 0.0000], [0.7168, 0.7071, 0.8593], [0.0761, 0.7071, 0.1407], [0.2500, 0.0000, 0.0000], [0.2832, 0.2929, 0.1407], [0.5761, 0.1407, 0.7071], [0.7500, 0.5000, 0.5000], [0.2500, 0.5000, 0.5000], [0.6628, 0.5000, 0.1744], [0.1628, 0.1744, 0.5000], [0.3372, 0.5000, 0.8256], [0.8372, 0.8256, 0.5000]]
}



No. 2
{
  "formula": "Ti3Sb",
  "functional": "PBEsol",
  "state": "optimized geometry",
  "total_energy_ev_per_cell": -62.48,
  "raw_formation_energy_ev_per_atom": -0.429,
  "lattice_angstrom": [[-1.9124, 1.9770, -4.3538], [-2.4544, -4.4301, -0.9336], [-4.1037, 1.7283, 2.5874]],
  "species": ["Sb", "Sb", "Ti", "Ti", "Ti", "Ti", "Ti", "Ti"],
  "fractional_positions": [[0.5000, 0.5000, 0.5000], [0.0000, 0.0000, 0.0000], [0.5000, 0.2500, 0.0000], [0.5000, 0.7500, 0.0000], [0.2500, 0.0000, 0.5000], [0.7500, 0.0000, 0.5000], [0.0000, 0.5000, 0.2500], [0.0000, 0.5000, 0.7500]]
}



No. 3
{
  "formula": "TiTl2Sb",
  "functional": "PBEsol",
  "state": "optimized geometry",
  "total_energy_ev_per_cell": -16.53,
  "raw_formation_energy_ev_per_atom": 0.402,
  "lattice_angstrom": [[-0.8800, -2.9813, 4.1388], [3.5860, -0.3998, 3.7111], [-0.8118, 2.1712, 4.6281]],
  "species": ["Sb", "Tl", "Tl", "Ti"],
  "fractional_positions": [[0.5000, 0.5000, 0.5000], [0.2500, 0.2500, 0.2500], [0.7500, 0.7500, 0.7500], [0.0000, 0.0000, 0.0000]]
}



No. 4
{
  "formula": "Ti3SbW",
  "functional": "PBEsol",
  "state": "optimized geometry",
  "total_energy_ev_per_cell": -39.72,
  "raw_formation_energy_ev_per_atom": 0.722,
  "lattice_angstrom": [[-4.3786, -0.4768, 1.7006], [-0.0677, -4.4975, -1.4352], [1.7649, -1.3554, 4.1641]],
  "species": ["Sb", "W", "Ti", "Ti", "Ti"],
  "fractional_positions": [[0.5000, 0.5000, 0.5000], [0.0000, 0.0000, 0.0000], [0.0000, 0.5000, 0.0000], [0.0000, 0.0000, 0.5000], [0.5000, 0.0000, 0.0000]]
}



No. 5
{
  "formula": "TiZn3Sb",
  "functional": "PBEsol",
  "state": "optimized geometry",
  "total_energy_ev_per_cell": -12.22,
  "raw_formation_energy_ev_per_atom": 1.080,
  "lattice_angstrom": [[-2.4088, -4.2338, -1.2669], [-0.6917, -1.0639, 4.8705], [-4.3648, 2.5051, -0.0726]],
  "species": ["Sb", "Zn", "Zn", "Zn", "Ti"],
  "fractional_positions": [[0.0000, 0.0000, 0.0000], [0.0000, 0.5000, 0.0000], [0.0000, 0.0000, 0.5000], [0.5000, 0.0000, 0.0000], [0.5000, 0.5000, 0.5000]]
}



No. 6
{
  "formula": "TiZnSb3",
  "functional": "PBEsol",
  "state": "optimized geometry",
  "total_energy_ev_per_cell": -22.19,
  "raw_formation_energy_ev_per_atom": 0.276,
  "relative_energy_mev_per_atom": 0.0,
  "lattice_angstrom": [[5.1670, 0.0000, 0.0000], [0.0000, 5.1670, 0.0000], [0.0000, 0.0000, 5.1670]],
  "species": ["Sb", "Sb", "Sb", "Zn", "Ti"],
  "fractional_positions": [[0.0000, 0.5000, 0.0000], [0.0000, 0.0000, 0.5000], [0.5000, 0.0000, 0.0000], [0.5000, 0.5000, 0.5000], [0.0000, 0.0000, 0.0000]]
}



No. 7
{
  "formula": "TiZnSb3",
  "functional": "PBEsol",
  "state": "optimized geometry",
  "total_energy_ev_per_cell": -19.76,
  "raw_formation_energy_ev_per_atom": 0.762,
  "relative_energy_mev_per_atom": 486.0,
  "lattice_angstrom": [[-2.2433, -4.5277, -0.5902], [4.2443, -2.3102, 1.5906], [-1.6836, 0.2090, 4.7961]],
  "species": ["Sb", "Sb", "Sb", "Zn", "Ti"],
  "fractional_positions": [[0.0000, 0.5000, 0.0000], [0.0000, 0.0000, 0.5000], [0.5000, 0.0000, 0.0000], [0.0000, 0.0000, 0.0000], [0.5000, 0.5000, 0.5000]]
}



No. 8
{
  "formula": "Ti3ZnSb",
  "functional": "PBEsol",
  "state": "optimized geometry",
  "total_energy_ev_per_cell": -26.50,
  "raw_formation_energy_ev_per_atom": 0.922,
  "lattice_angstrom": [[-4.7353, 0.4605, -1.2892], [-0.3701, -4.8997, -0.3905], [-1.3180, -0.2783, 4.7415]],
  "species": ["Sb", "Zn", "Ti", "Ti", "Ti"],
  "fractional_positions": [[0.0000, 0.0000, 0.0000], [0.5000, 0.5000, 0.5000], [0.0000, 0.5000, 0.0000], [0.0000, 0.0000, 0.5000], [0.5000, 0.0000, 0.0000]]
}